No. 1
First-principles (PBE) data for crystalline Pr2CoB10 at its relaxed geometry, as listed in Alexandria.

Calculated values
Its calculated total energy is -6.950 eV/atom. The total magnetic moment comes out at 0.00 μB per formula unit. Its symmetry is Pbam.

```
Pr2CoB10
1.0
4.2065 0.0000 0.0000
0.0000 5.6496 0.0000
0.0000 0.0000 11.2546
Pr Co B
4 2 20
direct
0.5000 0.3013 0.8656
0.5000 0.6987 0.1344
0.5000 0.8013 0.6344
0.5000 0.1987 0.3656
0.0000 0.5000 0.5000
0.0000 0.0000 0.0000
0.0000 0.1280 0.5407
0.0000 0.8720 0.4592
0.0000 0.6280 0.9592
0.0000 0.3720 0.0408
0.0000 0.1567 0.6972
0.0000 0.8433 0.3028
0.2985 0.2004 0.1129
0.2985 0.7996 0.8871
0.7015 0.7004 0.3871
0.7015 0.2996 0.6129
0.7015 0.7996 0.8871
0.7015 0.2004 0.1129
0.2985 0.2996 0.6129
0.2985 0.7004 0.3871
0.0000 0.0340 0.1868
0.0000 0.9660 0.8132
0.0000 0.5340 0.3132
0.0000 0.4660 0.6868
0.0000 0.3433 0.1972
0.0000 0.6567 0.8028
```



No. 2
First-principles (PBE) data for crystalline PrCo6B3 at its relaxed geometry, as listed in Alexandria.

Calculated values
Its calculated total energy is -6.916 eV/atom. The total magnetic moment comes out at 2.89 μB per formula unit. Its symmetry is P1.

```
PrCo6B3
1.0
0.5833 -5.0736 -0.8590
1.7424 1.9792 4.3376
-5.4778 2.2682 0.8832
Pr Co B
1 6 3
direct
0.9617 0.9843 0.9005
0.2989 0.4055 0.6959
0.2323 0.6649 0.2880
0.7249 0.1115 0.2369
0.2887 0.8735 0.7038
0.6910 0.3310 0.5916
0.6919 0.6017 0.2356
0.6887 0.3444 0.9673
0.2851 0.6443 0.9719
0.1369 0.0388 0.4085
```